Density functional theory data (GGA-PBE) for crystalline NbGaGeAu2 at its relaxed geometry.

a b c (Å): 4.793 4.787 4.793
angles (deg): 90.00 90.00 90.00
Site moments in Bohr magnetons follow the coordinates.
Positions (direct):
Ga  0.000  0.000  0.000  0.00
Ge  0.000  0.500  0.000  -0.04
Au  0.000  0.000  0.500  0.01
Au  0.500  0.000  0.000  -0.01
Nb  0.500  0.500  0.500  2.07

Calculated values
DOS at the Fermi energy	3.8	states/eV/f.u.
space-group type	P4/mmm
DFT total energy	-20.24	eV/cell